No. 1
Compound: Be2SiTc
Source: the Alexandria database
Functional: PBE
Structure: optimized geometry

a b c (Å): 4.542 4.542 4.542
angles (deg): 140.19 131.82 64.22
Fractional coordinates of all 4 atoms:
Si1 0.750 0.250 0.500
Be1 0.001 0.001 0.000
Be2 0.499 0.499 0.000
Tc1 0.250 0.750 0.500

Raw total energy   -6.0593 eV per atom
Space group   Immm, No. 71
Size of the total moment   0.00 μB/atom
V   44 Å³/cell
Energy relative to the elements, uncorrected   -0.249 eV per atom

=====

No. 2
Compound: BeSi2Tc
Source: the Alexandria database
Functional: PBE
Structure: optimized geometry

a b c (Å): 7.671 7.671 7.671
angles (deg): 21.29 21.29 21.29
Fractional coordinates of all 4 atoms:
Si1 0.498 0.498 0.498
Si2 0.002 0.002 0.002
Tc1 0.250 0.250 0.250
Be1 0.750 0.750 0.750

Raw total energy   -6.2062 eV per atom
Space group   R-3m, No. 166
Size of the total moment   0.00 μB/atom
V   52 Å³/cell
Energy relative to the elements, uncorrected   0.028 eV per atom

=====

No. 3
Compound: BeSi2Tc
Source: the Alexandria database
Functional: PBE
Structure: optimized geometry

a b c (Å): 4.560 4.560 4.093
angles (deg): 84.81 84.81 37.34
Fractional coordinates of all 4 atoms:
Si1 0.230 0.230 0.299
Si2 0.015 0.015 0.971
Be1 0.761 0.761 0.741
Tc1 0.495 0.495 0.489

Raw total energy   -6.2943 eV per atom
Space group   Cm, No. 8
Size of the total moment   0.00 μB/atom
V   51 Å³/cell
Energy relative to the elements, uncorrected   -0.060 eV per atom

=====

No. 4
Compound: BeSi2Tc
Source: the Alexandria database
Functional: PBE
Structure: optimized geometry

a b c (Å): 3.867 3.536 3.536
angles (deg): 90.00 90.00 90.00
Fractional coordinates of all 4 atoms:
Be1 0.500 0.000 0.500
Si1 0.000 0.000 0.000
Si2 0.000 0.500 0.500
Tc1 0.500 0.500 0.000

Raw total energy   -6.1847 eV per atom
Space group   P4/mmm, No. 123
Size of the total moment   0.11 μB/atom
V   48 Å³/cell
Energy relative to the elements, uncorrected   0.050 eV per atom

=====

No. 5
Compound: BeSi3Tc
Source: the Alexandria database
Functional: PBE
Structure: optimized geometry

a b c (Å): 4.655 4.655 4.655
angles (deg): 90.00 90.00 90.00
Fractional coordinates of all 5 atoms:
Be1 0.500 0.500 0.500
Si1 0.000 0.500 0.000
Si2 0.000 0.000 0.500
Si3 0.500 0.000 0.000
Tc1 0.000 0.000 0.000

Raw total energy   -5.2406 eV per atom
Space group   Pm-3m, No. 221
Size of the total moment   0.00 μB/atom
V   101 Å³/cell
Energy relative to the elements, uncorrected   0.832 eV per atom
ΔE to the lowest computed polymorph   0.00 eV per formula unit

=====

No. 6
Compound: BeSiTc2
Source: the Alexandria database
Functional: PBE
Structure: optimized geometry

a b c (Å): 4.111 4.111 4.111
angles (deg): 60.00 60.00 60.00
Fractional coordinates of all 4 atoms:
Tc1 0.250 0.250 0.250
Tc2 0.750 0.750 0.750
Si1 0.500 0.500 0.500
Be1 0.000 0.000 0.000

Raw total energy   -7.7217 eV per atom
Space group   Fm-3m, No. 225
Size of the total moment   0.00 μB/atom
V   49 Å³/cell
Energy relative to the elements, uncorrected   -0.251 eV per atom
ΔE to the lowest computed polymorph   0.45 eV per formula unit

=====

No. 7
Compound: Be2SiTc
Source: the Alexandria database
Functional: PBE
Structure: optimized geometry

a b c (Å): 6.347 6.347 5.076
angles (deg): 51.30 51.30 90.00
Fractional coordinates of all 8 atoms:
Tc1 0.000 0.000 0.000
Tc2 0.750 0.250 0.500
Si1 0.250 0.750 0.500
Si2 0.500 0.500 0.000
Be1 0.375 0.390 0.750
Be2 0.140 0.625 0.250
Be3 0.875 0.860 0.750
Be4 0.610 0.125 0.250

Raw total energy   -5.4597 eV per atom
Space group   I-42d, No. 122
Size of the total moment   0.11 μB/atom
V   96 Å³/cell
Energy relative to the elements, uncorrected   0.351 eV per atom

=====

No. 8
Compound: Be2SiTc3
Source: the Alexandria database
Functional: PBE
Structure: optimized geometry

a b c (Å): 7.870 6.372 9.783
angles (deg): 90.00 142.81 90.00
Fractional coordinates of all 24 atoms:
Si1 0.054 0.361 0.210
Si2 0.446 0.861 0.290
Si3 0.554 0.139 0.710
Si4 0.946 0.639 0.790
Be1 0.884 0.979 0.334
Be2 0.116 0.021 0.666
Be3 0.884 0.860 0.956
Be4 0.384 0.640 0.456
Be5 0.116 0.140 0.044
Be6 0.616 0.360 0.544
Be7 0.384 0.521 0.834
Be8 0.616 0.479 0.166
Tc1 0.808 0.003 0.677
Tc2 0.131 0.300 0.824
Tc3 0.192 0.997 0.323
Tc4 0.104 0.323 0.492
Tc5 0.869 0.700 0.176
Tc6 0.308 0.497 0.177
Tc7 0.396 0.823 0.008
Tc8 0.369 0.800 0.676
Tc9 0.896 0.677 0.508
Tc10 0.692 0.503 0.823
Tc11 0.604 0.177 0.992
Tc12 0.631 0.200 0.324

Raw total energy   -7.4887 eV per atom
Space group   P2_1/c, No. 14
Size of the total moment   0.00 μB/atom
V   297 Å³/cell
Energy relative to the elements, uncorrected   -0.160 eV per atom

=====

No. 9
Compound: BeSiTc2
Source: the Alexandria database
Functional: PBE
Structure: optimized geometry

a b c (Å): 4.100 4.100 2.930
angles (deg): 90.00 90.00 89.95
Fractional coordinates of all 4 atoms:
Be1 0.500 0.000 0.500
Tc1 0.500 0.500 0.000
Tc2 0.000 0.000 0.000
Si1 0.000 0.500 0.500

Raw total energy   -7.6897 eV per atom
Space group   P4/mmm, No. 123
Size of the total moment   0.00 μB/atom
V   49 Å³/cell
Energy relative to the elements, uncorrected   -0.219 eV per atom
ΔE to the lowest computed polymorph   0.58 eV per formula unit

=====

No. 10
Compound: Be4Si2Tc
Source: the Alexandria database
Functional: PBE
Structure: optimized geometry

a b c (Å): 6.004 6.007 4.731
angles (deg): 141.99 98.69 105.11
Fractional coordinates of all 7 atoms:
Be1 0.928 0.928 0.357
Be2 0.429 0.429 0.357
Be3 0.227 0.728 0.956
Be4 0.630 0.129 0.759
Si1 0.704 0.204 0.357
Si2 0.153 0.653 0.358
Tc1 0.929 0.929 0.857

Raw total energy   -5.2165 eV per atom
Space group   Cmmm, No. 65
Size of the total moment   0.00 μB/atom
V   81 Å³/cell
Energy relative to the elements, uncorrected   -0.057 eV per atom

=====

No. 11
Compound: BeSiTc2
Source: the Alexandria database
Functional: PBE
Structure: optimized geometry

a b c (Å): 3.699 3.699 8.847
angles (deg): 77.93 77.93 90.00
Fractional coordinates of all 8 atoms:
Tc1 0.875 0.825 0.750
Tc2 0.575 0.125 0.250
Tc3 0.175 0.625 0.250
Tc4 0.375 0.425 0.750
Be1 0.500 0.500 0.000
Be2 0.250 0.750 0.500
Si1 0.750 0.250 0.500
Si2 0.000 0.000 0.000

Raw total energy   -7.1554 eV per atom
Space group   I-42d, No. 122
Size of the total moment   0.00 μB/atom
V   116 Å³/cell
Energy relative to the elements, uncorrected   0.315 eV per atom
ΔE to the lowest computed polymorph   2.72 eV per formula unit

=====

No. 12
Compound: Be2SiTc
Source: the Alexandria database
Functional: PBE
Structure: optimized geometry

a b c (Å): 3.665 2.781 4.447
angles (deg): 90.01 90.00 90.00
Fractional coordinates of all 4 atoms:
Si1 0.500 0.250 0.250
Tc1 0.500 0.750 0.750
Be1 0.000 0.249 0.522
Be2 0.000 0.251 0.978

Raw total energy   -5.9165 eV per atom
Space group   Pmmm, No. 47
Size of the total moment   0.00 μB/atom
V   45 Å³/cell
Energy relative to the elements, uncorrected   -0.106 eV per atom